Entry 1:
Compound: Th2Bi2O
Source: Alexandria via LeMat-Bulk
Functional: PBE-GGA
Structure: optimized geometry

a b c (Å): 4.2713 7.9583 9.1799
angles (deg): 90.00 103.45 90.00
With the nearest neighbours (Å) after each atom.
Positions (direct):
Th: 0.4214 0.3879 0.8427  1 O 2.29
Th: 0.8474 0.0226 0.6949  2 O 2.33
Th: 0.1526 0.5226 0.3051  2 O 2.33
Th: 0.5786 0.8879 0.1573  1 O 2.29
Bi: 0.9666 0.6983 0.9331  6 Th 3.29-3.60, 2 O 3.54
Bi: 0.7834 0.4100 0.5668  5 Th 3.27-3.29, 3 O 3.34-3.60
Bi: 0.2166 0.9100 0.4332  5 Th 3.27-3.29, 3 O 3.34-3.60
Bi: 0.0334 0.1983 0.0669  6 Th 3.29-3.60, 2 O 3.54
O: 0.3794 0.1156 0.7588  3 Th 2.29-2.33
O: 0.6206 0.6156 0.2412  3 Th 2.29-2.33

- Formation energy (no corrections): -33.39 kcal/mol of atoms
- Magnetization: 0.00 μB/cell
- Fermi-level density of states: 0.062 states/eV per atom
- Symmetry: Cmc2_1 (36)

=====

Entry 2:
Compound: Na2UPb3Se6
Source: Alexandria via LeMat-Bulk
Functional: PBE-GGA
Structure: optimized geometry

a b c (Å): 7.4391 7.4391 7.5063
angles (deg): 99.39 99.39 119.83
With the nearest neighbours (Å) after each atom.
Positions (direct):
Na: 0.3328 0.6672 0.0000  6 Se 3.04-3.10
Na: 0.6672 0.3328 0.0000  6 Se 3.04-3.10
U: 0.0000 0.0000 0.0000  6 Se 2.84-2.91
Pb: 0.1650 0.8350 0.5000  6 Se 3.00-3.28
Pb: 0.8350 0.1650 0.5000  6 Se 3.00-3.28
Pb: 0.5000 0.5000 0.5000  6 Se 3.07-3.18
Se: 0.9218 0.6111 0.7690  1 U 2.84, 2 Na 3.04-3.05, 2 Pb 3.07
Se: 0.7676 0.7676 0.2452  1 U 2.91, 3 Pb 3.00-3.18, 2 Na 3.10
Se: 0.0782 0.3889 0.2310  1 U 2.84, 2 Na 3.04-3.05, 2 Pb 3.07
Se: 0.6111 0.9218 0.7690  1 U 2.84, 2 Na 3.04-3.05, 2 Pb 3.07
Se: 0.2324 0.2324 0.7548  1 U 2.91, 3 Pb 3.00-3.18, 2 Na 3.10
Se: 0.3889 0.0782 0.2310  1 U 2.84, 2 Na 3.04-3.05, 2 Pb 3.07

- Formation energy (no corrections): -20.32 kcal/mol of atoms
- Magnetization: 2.00 μB/cell
- Fermi-level density of states: 0.348 states/eV per atom
- Symmetry: C2/m (12)

=====

Entry 3:
Compound: SrTcIr
Source: Alexandria via LeMat-Bulk
Functional: PBE-GGA
Structure: optimized geometry

a b c (Å): 4.1675 4.1675 9.9967
angles (deg): 90.00 90.00 120.00
With the nearest neighbours (Å) after each atom.
Positions (direct):
Sr: 0.0000 0.0000 0.0000  6 Tc 3.47, 6 Ir 3.47
Sr: 0.0000 0.0000 0.5000  6 Tc 3.47, 6 Ir 3.47
Ir: 0.3333 0.6667 0.7500  3 Tc 2.41
Ir: 0.6667 0.3333 0.2500  3 Tc 2.41
Tc: 0.3333 0.6667 0.2500  3 Ir 2.41
Tc: 0.6667 0.3333 0.7500  3 Ir 2.41

- ΔH_f (0 K): 0.4 eV per formula unit
- Magnetization: 0.00 μB/cell
- Fermi-level density of states: 0.736 states/eV per atom
- Symmetry: P6_3/mmc (194)
- ΔE to the lowest computed polymorph: 146 meV/atom

=====

Entry 4:
Compound: CrAs2Se
Source: Alexandria via LeMat-Bulk
Functional: PBE-GGA
Structure: optimized geometry

a b c (Å): 3.1386 3.1386 7.2522
angles (deg): 90.00 90.00 90.00
With the nearest neighbours (Å) after each atom.
Positions (direct):
As: 0.0000 0.0000 0.0742  4 As 2.69, 1 Cr 2.89
As: 0.5000 0.5000 0.2840  4 Cr 2.61, 4 As 2.69, 1 Se 2.79
Cr: 0.0000 0.0000 0.4732  5 As 2.61-2.89, 4 Se 2.63
Se: 0.5000 0.5000 0.6686  4 Cr 2.63, 1 As 2.79

- Formation energy (no corrections): 3.03 kcal/mol of atoms
- Magnetization: 0.00 μB/cell
- Fermi-level density of states: 0.517 states/eV per atom
- Symmetry: P4mm (99)

=====

Entry 5:
Compound: Sm2Ga3Pt4
Source: Alexandria via LeMat-Bulk
Functional: PBE-GGA
Structure: optimized geometry

a b c (Å): 5.6680 7.6473 8.2569
angles (deg): 90.00 110.07 90.00
With the nearest neighbours (Å) after each atom.
Positions (direct):
Sm: 0.1079 0.5909 0.2158  8 Pt 3.06-3.37, 4 Ga 3.14-3.36
Sm: 0.8921 0.4091 0.7842  8 Pt 3.06-3.37, 4 Ga 3.14-3.36
Sm: 0.3921 0.0909 0.7842  8 Pt 3.06-3.37, 4 Ga 3.14-3.36
Sm: 0.6079 0.9091 0.2158  8 Pt 3.06-3.37, 4 Ga 3.14-3.36
Ga: 0.0000 0.0000 0.0000  6 Pt 2.56-2.83
Ga: 0.5000 0.5000 0.0000  6 Pt 2.56-2.83
Ga: 0.5204 0.7500 0.5408  5 Pt 2.62-2.63, 2 Ga 2.83
Ga: 0.9796 0.2500 0.4592  5 Pt 2.62-2.63, 2 Ga 2.83
Ga: 0.4796 0.2500 0.4592  5 Pt 2.62-2.63, 2 Ga 2.83
Ga: 0.0204 0.7500 0.5408  5 Pt 2.62-2.63, 2 Ga 2.83
Pt: 0.6898 0.7500 0.8797  3 Ga 2.56-2.63, 2 Pt 2.83
Pt: 0.8102 0.2500 0.1203  3 Ga 2.56-2.63, 2 Pt 2.83
Pt: 0.3102 0.2500 0.1203  3 Ga 2.56-2.63, 2 Pt 2.83
Pt: 0.1898 0.7500 0.8797  3 Ga 2.56-2.63, 2 Pt 2.83
Pt: 0.1820 0.9761 0.3640  5 Ga 2.62-2.83
Pt: 0.8180 0.0239 0.6360  5 Ga 2.62-2.83
Pt: 0.3180 0.4761 0.6360  5 Ga 2.62-2.83
Pt: 0.6820 0.5239 0.3640  5 Ga 2.62-2.83

- ΔH_f (0 K): -9.0 eV per formula unit
- Magnetization: 0.00 μB/cell
- Fermi-level density of states: 0.528 states/eV per atom
- Symmetry: Cmce (64)

=====

Entry 6:
Compound: PmTaAl2
Source: Alexandria via LeMat-Bulk
Functional: PBE-GGA
Structure: optimized geometry

a b c (Å): 3.5392 3.5392 6.6085
angles (deg): 90.00 90.00 90.00
With the nearest neighbours (Å) after each atom.
Positions (direct):
Pm: 0.5000 0.5000 0.5000  8 Al 3.21, 2 Ta 3.30, 4 Pm 3.54
Al: 0.0000 0.0000 0.8054  1 Al 2.57, 4 Ta 2.81
Al: 0.0000 0.0000 0.1946  1 Al 2.57, 4 Ta 2.81
Ta: 0.5000 0.5000 0.0000  8 Al 2.81

- ΔH_f (0 K): -0.5 eV per formula unit
- Magnetization: 0.00 μB/cell
- Fermi-level density of states: 0.513 states/eV per atom
- Symmetry: P4/mmm (123)
- ΔE to the lowest computed polymorph: 0 meV/atom

=====

Entry 7:
Compound: SrBeIr2
Source: Alexandria via LeMat-Bulk
Functional: PBE-GGA
Structure: optimized geometry

a b c (Å): 4.8541 4.8541 8.4464
angles (deg): 73.30 73.30 90.00
With the nearest neighbours (Å) after each atom.
Positions (direct):
Sr: 0.0000 0.0000 0.0000  8 Ir 3.33, 4 Be 3.43
Sr: 0.7500 0.2500 0.5000  8 Ir 3.33, 4 Be 3.43
Ir: 0.3750 0.1250 0.2500  2 Be 2.28, 2 Ir 2.43
Ir: 0.3750 0.6250 0.2500  2 Be 2.28, 2 Ir 2.43
Ir: 0.3750 0.6250 0.7500  2 Be 2.28, 2 Ir 2.43
Ir: 0.8750 0.6250 0.7500  2 Be 2.28, 2 Ir 2.43
Be: 0.5000 0.5000 0.0000  4 Ir 2.28
Be: 0.2500 0.7500 0.5000  4 Ir 2.28

- ΔH_f (0 K): -0.1 eV per formula unit
- Magnetization: 0.00 μB/cell
- Fermi-level density of states: 0.576 states/eV per atom
- Symmetry: I4_1/amd (141)

=====

Entry 8:
Compound: Fe2GePdN
Source: Alexandria via LeMat-Bulk
Functional: PBE-GGA
Structure: optimized geometry

a b c (Å): 4.4552 4.5663 4.4552
angles (deg): 90.00 90.00 90.00
With the nearest neighbours (Å) after each atom.
Positions (direct):
Ge: 0.0000 0.0000 0.0000  4 Fe 2.23, 2 Pd 2.28
Fe: 0.0000 0.0000 0.5000  2 Ge 2.23
Fe: 0.5000 0.0000 0.0000  2 Ge 2.23
Pd: 0.0000 0.5000 0.0000  2 Ge 2.28
N: 0.5000 0.5000 0.5000  4 Pd 3.15, 8 Fe 3.19

- Formation energy (no corrections): 40.93 kcal/mol of atoms
- Magnetization: 6.32 μB/cell
- Fermi-level density of states: 0.914 states/eV per atom
- Symmetry: P4/mmm (123)

=====

Entry 9:
Compound: KHgBiPb2
Source: Alexandria via LeMat-Bulk
Functional: PBE-GGA
Structure: optimized geometry

a b c (Å): 6.0689 5.6429 6.0689
angles (deg): 90.00 90.00 90.00
With the nearest neighbours (Å) after each atom.
Positions (direct):
Pb: 0.0000 0.0000 0.5000  2 K 3.03
Pb: 0.5000 0.0000 0.0000  2 K 3.03
K: 0.0000 0.0000 0.0000  2 Hg 2.82, 4 Pb 3.03
Bi: 0.5000 0.5000 0.5000  8 Pb 4.14, 4 Hg 4.29
Hg: 0.0000 0.5000 0.0000  2 K 2.82

- ΔH_f (0 K): 3.8 eV per formula unit
- Magnetization: 0.00 μB/cell
- Fermi-level density of states: 0.726 states/eV per atom
- Symmetry: P4/mmm (123)

=====

Entry 10:
Compound: Sn5Te7Pb
Source: Alexandria via LeMat-Bulk
Functional: PBE-GGA
Structure: optimized geometry

a b c (Å): 4.4838 7.7750 25.9670
angles (deg): 89.98 90.00 106.76
With the nearest neighbours (Å) after each atom.
Positions (direct):
Sn: 0.0059 0.0119 0.0014  6 Te 3.06-3.39
Sn: 0.7309 0.4618 0.9217  6 Te 3.03-3.23
Sn: 0.2866 0.5732 0.0769  6 Te 3.02-3.26
Sn: 0.5509 0.1018 0.3536  6 Te 2.98-3.28
Sn: 0.4314 0.8629 0.6457  6 Te 3.03-3.31
Sn: 0.9946 0.9891 0.5014  6 Te 3.06-3.38
Sn: 0.2695 0.5391 0.4217  6 Te 3.03-3.23
Sn: 0.7140 0.4281 0.5769  6 Te 3.02-3.26
Sn: 0.4496 0.8992 0.8536  6 Te 2.98-3.28
Sn: 0.5692 0.1384 0.1457  6 Te 3.02-3.31
Te: 0.4721 0.9442 0.2481  2 Sn 2.98-3.02, 2 Pb 3.11
Te: 0.5284 0.0569 0.7481  2 Sn 2.98-3.03, 2 Pb 3.11
Te: 0.6466 0.2932 0.0335  6 Sn 3.14-3.26
Te: 0.3682 0.7365 0.9648  6 Sn 3.13-3.23
Te: 0.3539 0.7078 0.5334  6 Sn 3.14-3.26
Te: 0.6323 0.2646 0.4647  6 Sn 3.13-3.23
Te: 0.1966 0.3932 0.1811  3 Sn 3.02-3.08
Te: 0.8236 0.6472 0.8179  3 Sn 3.03-3.07
Te: 0.8040 0.6081 0.6811  3 Sn 3.02-3.08
Te: 0.1770 0.3539 0.3178  3 Sn 3.03-3.07
Te: 0.9194 0.8388 0.1082  5 Sn 3.06-3.31
Te: 0.1021 0.2042 0.8832  5 Sn 3.11-3.39, 1 Pb 3.26
Te: 0.0812 0.1623 0.6082  5 Sn 3.06-3.31
Te: 0.8986 0.7971 0.3833  5 Sn 3.12-3.38, 1 Pb 3.26
Pb: 0.8296 0.6592 0.2640  5 Te 3.11-3.49
Pb: 0.1710 0.3420 0.7639  5 Te 3.11-3.49

- Formation energy (no corrections): -6.04 kcal/mol of atoms
- Magnetization: 0.00 μB/cell
- Fermi-level density of states: 0.508 states/eV per atom
- Symmetry: Cmc2_1 (36)

=====

Entry 11:
Compound: Re2WBr
Source: Alexandria via LeMat-Bulk
Functional: PBE-GGA
Structure: optimized geometry

a b c (Å): 9.0803 9.0803 9.0803
angles (deg): 18.41 18.41 18.41
With the nearest neighbours (Å) after each atom.
Positions (direct):
Re: 0.9949 0.9949 0.9949  9 Re 2.65-2.91
Re: 0.2514 0.2514 0.2514  9 Re 2.65-2.91, 3 W 2.83
Br: 0.7543 0.7543 0.7543  3 W 2.69, 6 Br 2.91, 3 Re 3.00
W: 0.4994 0.4994 0.4994  3 Br 2.69, 3 Re 2.83, 6 W 2.91

- Formation energy (no corrections): 14.11 kcal/mol of atoms
- Magnetization: 0.00 μB/cell
- Fermi-level density of states: 0.877 states/eV per atom
- Symmetry: R3m (160)
- ΔE to the lowest computed polymorph: 0 meV/atom

=====

Entry 12:
Compound: Sc2CrGe2
Source: Alexandria via LeMat-Bulk
Functional: PBE-GGA
Structure: optimized geometry

a b c (Å): 6.6380 6.6380 3.9564
angles (deg): 90.00 90.00 90.00
With the nearest neighbours (Å) after each atom.
Positions (direct):
Sc: 0.1735 0.6735 0.5000  6 Ge 2.66-2.87
Sc: 0.6735 0.8265 0.5000  6 Ge 2.66-2.87
Sc: 0.8265 0.3265 0.5000  6 Ge 2.66-2.87
Sc: 0.3265 0.1735 0.5000  6 Ge 2.66-2.87
Cr: 0.0000 0.0000 0.0000  4 Ge 2.57
Cr: 0.5000 0.5000 0.0000  4 Ge 2.57
Ge: 0.3628 0.8628 0.0000  2 Cr 2.57, 1 Ge 2.58, 6 Sc 2.66-2.87
Ge: 0.8628 0.6372 0.0000  2 Cr 2.57, 1 Ge 2.58, 6 Sc 2.66-2.87
Ge: 0.6372 0.1372 0.0000  2 Cr 2.57, 1 Ge 2.58, 6 Sc 2.66-2.87
Ge: 0.1372 0.3628 0.0000  2 Cr 2.57, 1 Ge 2.58, 6 Sc 2.66-2.87

- ΔH_f (0 K): -2.5 eV per formula unit
- Magnetization: 0.00 μB/cell
- Fermi-level density of states: 0.984 states/eV per atom
- Symmetry: P4/mbm (127)

=====

> magnetization of number 9 (KHgBiPb2)?

0.00 μB/cell

=====

> The lowest Fermi-level density of states belongs to which entry?

Th2Bi2O